Material: ScRe2Rh
Method: DFT, PBE
State: relaxed

Summary:
Excess energy over the best structure of this formula in the dataset, meV per atom: 396.0
DFT formation energy, meV/atom: 234
E_tot, eV/atom: -9.4109
SG: P4/mmm (123)
Magnetization, μB/f.u.: 0.00

Cell and atoms, written as extended XYZ:
```
4
Lattice="4.561 0.000 0.000 0.000 4.561 0.000 0.000 0.000 3.019" Properties=species:S:1:pos:R:3 pbc="T T T"
Sc 0.000 0.000 0.000
Re 0.000 2.281 1.509
Re 2.281 0.000 1.509
Rh 2.281 2.281 0.000
```



Material: ScReRh2
Method: DFT, PBE
State: relaxed

Summary:
Excess energy over the best structure of this formula in the dataset, meV per atom: 6.1
DFT formation energy, meV/atom: -369
E_tot, eV/atom: -8.7401
SG: P4/mmm (123)
Magnetization, μB/f.u.: 0.00

Cell and atoms, written as extended XYZ:
```
4
Lattice="2.852 0.000 0.000 0.000 2.852 0.000 0.000 0.000 7.653" Properties=species:S:1:pos:R:3 pbc="T T T"
Sc 0.000 0.000 0.000
Re 0.000 0.000 3.826
Rh 1.426 1.426 2.028
Rh 1.426 1.426 5.625
```



Material: ScReSiRh2
Method: DFT, PBE
State: relaxed

Summary:
Energy relative to the elements, uncorrected, eV/atom: -0.0090
E_tot, eV/atom: -7.7901
SG: P4/mmm (123)
Magnetization, μB/f.u.: 0.00

Cell and atoms, written as extended XYZ:
```
5
Lattice="4.373 0.000 0.000 0.000 4.373 0.000 0.000 0.000 4.526" Properties=species:S:1:pos:R:3 pbc="T T T"
Sc 0.000 0.000 0.000
Re 2.186 2.186 0.000
Si 2.186 2.186 2.263
Rh 0.000 2.186 2.263
Rh 2.186 0.000 2.263
```



Material: ScReSi2Rh
Method: DFT, PBE
State: relaxed

Summary:
Energy relative to the elements, uncorrected, eV/atom: 0.3781
E_tot, eV/atom: -7.0173
SG: P4/mmm (123)
Magnetization, μB/f.u.: 0.00

Cell and atoms, written as extended XYZ:
```
5
Lattice="4.556 0.000 0.000 0.000 4.556 0.000 0.000 0.000 4.894" Properties=species:S:1:pos:R:3 pbc="T T T"
Sc 0.000 0.000 0.000
Re 2.278 2.278 2.447
Si 0.000 2.278 2.447
Si 2.278 0.000 2.447
Rh 2.278 2.278 0.000
```



Material: ScTaReRh
Method: DFT, PBE
State: relaxed

Summary:
DFT formation energy, meV/atom: -514
E_tot, eV/atom: -10.0103
SG: F-43m (216)
Magnetization, μB/f.u.: 0.00

Cell and atoms, written as extended XYZ:
```
4
Lattice="0.000 3.208 3.208 3.208 0.000 3.208 3.208 3.208 0.000" Properties=species:S:1:pos:R:3 pbc="T T T"
Sc 0.000 0.000 0.000
Ta 3.208 3.208 3.208
Re 1.604 1.604 1.604
Rh 4.812 4.812 4.812
```



Material: ScTiReRh
Method: DFT, PBE
State: relaxed

Summary:
DFT formation energy, meV/atom: -512
E_tot, eV/atom: -9.0185
SG: F-43m (216)
Magnetization, μB/f.u.: 0.00

Cell and atoms, written as extended XYZ:
```
4
Lattice="0.000 3.166 3.166 3.166 0.000 3.166 3.166 3.166 0.000" Properties=species:S:1:pos:R:3 pbc="T T T"
Sc 0.000 0.000 0.000
Ti 3.166 3.166 3.166
Re 4.749 4.749 4.749
Rh 1.583 1.583 1.583
```